one:
Density functional theory data (PBE) for crystalline LaNbIr2 at its relaxed geometry.

a b c (Å): 4.7953 4.7953 4.7953
angles (deg): 60.00 60.00 60.00
Closest atoms and distances in Å follow each position.
Positions (direct):
La  0.0000  0.0000  0.0000  8 Ir 2.94
Nb  0.5000  0.5000  0.5000  8 Ir 2.94
Ir  0.2500  0.2500  0.2500  4 La 2.94, 4 Nb 2.94
Ir  0.7500  0.7500  0.7500  4 Nb 2.94, 4 La 2.94

Computed properties:
symmetry	Fm-3m

two:
Density functional theory data (PBE) for crystalline LaNbIr2 at its relaxed geometry.

a b c (Å): 6.0919 6.0919 6.0919
angles (deg): 104.28 104.28 120.44
Closest atoms and distances in Å follow each position.
Positions (direct):
La  0.0000  0.0000  0.0000  4 Ir 2.96, 2 Nb 3.03
La  0.7500  0.2500  0.5000  4 Ir 2.96, 2 Nb 3.03
Nb  0.2500  0.7500  0.5000  4 Ir 2.56
Nb  0.5000  0.5000  0.0000  4 Ir 2.56
Ir  0.1644  0.6250  0.0394  2 Nb 2.56
Ir  0.3750  0.4144  0.5394  2 Nb 2.56
Ir  0.5856  0.1250  0.9606  2 Nb 2.56
Ir  0.8750  0.8356  0.4606  2 Nb 2.56

Computed properties:
symmetry	I-42d

Structures ranked by computed energy, the most stable listed first: one, two.